Model a:
Compound: CaPb3I
Source: Alexandria via LeMat-Bulk
Functional: PBE
Structure: relaxed

a = 6.004 Å, b = 6.004 Å, c = 6.004 Å
α = 90.00°, β = 90.00°, γ = 90.00°
Element x y z (fractional)
Pb (0.500, 0.000, 0.000)
Pb (0.000, 0.500, 0.000)
Pb (0.000, 0.000, 0.500)
Ca (0.500, 0.500, 0.500)
I (0.000, 0.000, 0.000)

Summary:
M_tot = 0.000 μB/atom

Model b:
Compound: CaPb3I
Source: Alexandria via LeMat-Bulk
Functional: PBE
Structure: relaxed

a = 6.058 Å, b = 6.058 Å, c = 6.058 Å
α = 90.00°, β = 90.00°, γ = 90.00°
Element x y z (fractional)
I (0.500, 0.500, 0.500)
Pb (0.000, 0.000, 0.500)
Pb (0.500, 0.000, 0.000)
Pb (0.000, 0.500, 0.000)
Ca (0.000, 0.000, 0.000)

Summary:
M_tot = 0.000 μB/atom

If we sort the structures by their calculated energies, the order from most to least stable is model a, model b.

Model a:
Compound: CaPbI2
Source: Alexandria via LeMat-Bulk
Functional: PBE
Structure: relaxed

a = 5.752 Å, b = 5.752 Å, c = 5.752 Å
α = 60.00°, β = 60.00°, γ = 60.00°
Element x y z (fractional)
Ca (0.000, 0.000, 0.000)
I (0.750, 0.750, 0.750)
I (0.250, 0.250, 0.250)
Pb (0.500, 0.500, 0.500)

Summary:
M_tot = 0.000 μB/atom

Model b:
Compound: CaPbI2
Source: Alexandria via LeMat-Bulk
Functional: PBE
Structure: relaxed

a = 8.937 Å, b = 8.937 Å, c = 7.388 Å
α = 52.79°, β = 52.79°, γ = 90.00°
Element x y z (fractional)
I (0.375, 0.398, 0.750)
I (0.602, 0.125, 0.250)
I (0.148, 0.625, 0.250)
I (0.875, 0.852, 0.750)
Ca (0.500, 0.500, 0.000)
Ca (0.250, 0.750, 0.500)
Pb (0.750, 0.250, 0.500)
Pb (0.000, 0.000, 0.000)

Summary:
M_tot = 0.000 μB/atom

If we sort the structures by their calculated energies, the order from most to least stable is model b, model a.

Model a:
Compound: Ca2Pb2I
Source: Alexandria via LeMat-Bulk
Functional: PBE
Structure: relaxed

a = 9.258 Å, b = 9.258 Å, c = 3.963 Å
α = 90.00°, β = 90.00°, γ = 90.00°
Element x y z (fractional)
Pb (0.887, 0.613, 0.000)
Pb (0.113, 0.387, 0.000)
Pb (0.613, 0.113, 0.000)
Pb (0.387, 0.887, 0.000)
I (0.000, 0.000, 0.000)
I (0.500, 0.500, 0.000)
Ca (0.813, 0.313, 0.500)
Ca (0.687, 0.813, 0.500)
Ca (0.313, 0.187, 0.500)
Ca (0.187, 0.687, 0.500)

Summary:
M_tot = 0.000 μB/atom

Model b:
Compound: Ca2Pb2I
Source: Alexandria via LeMat-Bulk
Functional: PBE
Structure: relaxed

a = 8.742 Å, b = 8.742 Å, c = 4.521 Å
α = 90.00°, β = 90.00°, γ = 90.00°
Element x y z (fractional)
I (0.500, 0.500, 0.000)
I (0.000, 0.000, 0.000)
Pb (0.618, 0.882, 0.500)
Pb (0.382, 0.118, 0.500)
Pb (0.882, 0.382, 0.500)
Pb (0.118, 0.618, 0.500)
Ca (0.823, 0.677, 0.000)
Ca (0.177, 0.323, 0.000)
Ca (0.323, 0.823, 0.000)
Ca (0.677, 0.177, 0.000)

Summary:
M_tot = 0.000 μB/atom

If we sort the structures by their calculated energies, the order from most to least stable is model b, model a.

Model a:
Compound: Rb2CaPbI6
Source: Alexandria via LeMat-Bulk
Functional: PBE
Structure: relaxed

a = 8.901 Å, b = 8.901 Å, c = 8.900 Å
α = 60.00°, β = 60.00°, γ = 90.00°
Element x y z (fractional)
I (0.746, 0.254, 0.000)
I (0.254, 0.746, 0.000)
I (0.746, 0.746, 0.000)
I (0.254, 0.254, 0.492)
I (0.254, 0.254, 0.000)
I (0.746, 0.746, 0.508)
Pb (0.000, 0.000, 0.000)
Rb (0.750, 0.250, 0.500)
Rb (0.250, 0.750, 0.500)
Ca (0.500, 0.500, 0.000)

Summary:
M_tot = 0.000 μB/atom

Model b:
Compound: Rb2CaPbI6
Source: Alexandria via LeMat-Bulk
Functional: PBE
Structure: relaxed

a = 8.479 Å, b = 8.919 Å, c = 12.231 Å
α = 90.00°, β = 89.98°, γ = 90.00°
Element x y z (fractional)
I (0.894, 0.523, 0.246)
I (0.811, 0.798, 0.947)
I (0.394, 0.977, 0.746)
I (0.303, 0.694, 0.052)
I (0.197, 0.194, 0.448)
I (0.689, 0.298, 0.553)
I (0.106, 0.477, 0.754)
I (0.803, 0.806, 0.552)
I (0.189, 0.202, 0.053)
I (0.311, 0.702, 0.447)
I (0.697, 0.306, 0.948)
I (0.606, 0.023, 0.254)
Ca (0.500, 0.000, 0.500)
Ca (0.000, 0.500, 0.000)
Rb (0.529, 0.582, 0.750)
Rb (0.971, 0.082, 0.750)
Rb (0.471, 0.418, 0.250)
Rb (0.029, 0.918, 0.250)
Pb (0.000, 0.500, 0.500)
Pb (0.500, 0.000, 0.000)

Summary:
M_tot = 0.000 μB/atom

If we sort the structures by their calculated energies, the order from most to least stable is model b, model a.

Model a:
Compound: CaPdI2
Source: Alexandria via LeMat-Bulk
Functional: PBE
Structure: relaxed

a = 6.121 Å, b = 6.121 Å, c = 8.823 Å
α = 69.70°, β = 69.70°, γ = 90.00°
Element x y z (fractional)
Ca (0.250, 0.750, 0.500)
Ca (0.500, 0.500, 0.000)
I (0.875, 0.912, 0.750)
I (0.375, 0.338, 0.750)
I (0.088, 0.625, 0.250)
I (0.662, 0.125, 0.250)
Pd (0.750, 0.250, 0.500)
Pd (0.000, 0.000, 0.000)

Summary:
M_tot = 0.000 μB/atom

Model b:
Compound: CaPdI2
Source: Alexandria via LeMat-Bulk
Functional: PBE
Structure: relaxed

a = 4.315 Å, b = 4.315 Å, c = 9.305 Å
α = 76.59°, β = 76.59°, γ = 60.00°
Element x y z (fractional)
I (0.110, 0.110, 0.669)
I (0.890, 0.890, 0.331)
Ca (0.000, 0.000, 0.000)
Pd (0.500, 0.500, 0.500)

Summary:
M_tot = 0.002 μB/atom

If we sort the structures by their calculated energies, the order from most to least stable is model a, model b.

Model a:
Compound: CaPdI3
Source: Alexandria via LeMat-Bulk
Functional: PBE
Structure: relaxed

a = 5.546 Å, b = 5.546 Å, c = 5.546 Å
α = 90.00°, β = 90.00°, γ = 90.00°
Element x y z (fractional)
I (0.000, 0.500, 0.000)
I (0.500, 0.000, 0.000)
I (0.000, 0.000, 0.500)
Pd (0.000, 0.000, 0.000)
Ca (0.500, 0.500, 0.500)

Summary:
M_tot = 0.000 μB/atom

Model b:
Compound: CaPdI3
Source: Alexandria via LeMat-Bulk
Functional: PBE
Structure: relaxed

a = 6.062 Å, b = 6.062 Å, c = 6.062 Å
α = 90.00°, β = 90.00°, γ = 90.00°
Last column: magnetic moment on the atom in μB.
Element x y z (fractional)
Pd (0.500, 0.500, 0.500)  0.55
I (0.000, 0.500, 0.000)  0.13
I (0.000, 0.000, 0.500)  0.06
I (0.500, 0.000, 0.000)  0.10
Ca (0.000, 0.000, 0.000)  0.00

Summary:
M_tot = 0.200 μB/atom

If we sort the structures by their calculated energies, the order from most to least stable is model a, model b.